{"formula": "Tb2PmZn2In2", "functional": "PBE", "state": "relaxed", "total_energy_ev_per_fu": -24.1, "cell": [[4.7327, 0.0000, 0.0000], [2.3663, 4.0986, 0.0000], [2.3663, 1.3662, 9.1986]], "species": ["Tb", "Tb", "Pm", "Zn", "Zn", "In", "In"], "fractional_positions": [[0.1284, 0.1284, 0.6149], [0.8716, 0.8716, 0.3851], [0.0000, 0.0000, 0.0000], [0.5970, 0.5970, 0.2091], [0.4030, 0.4030, 0.7909], [0.7385, 0.7385, 0.7846], [0.2615, 0.2615, 0.2154]]}